First-principles (GGA+U) data for crystalline SrNdHfFeO6 at its relaxed geometry, as listed in Alexandria.

It has space group F-43m (No. 216), with a = 7.922 Å, b = 7.922 Å, c = 7.922 Å, α = 90.00°, β = 90.00° and γ = 90.00°. Symmetry generates all atoms from Sr at (0.000, 0.000, 0.000), Nd at (0.000, 0.000, 0.500), Hf at (0.250, 0.250, 0.250), Fe at (0.250, 0.250, 0.750) and O at (0.007, 0.250, 0.750).

The raw total energy comes out at -7.734 eV/atom.